No. 1
Computed, not measured: a relaxed Nd2NpCoN5 crystal at the GGA-PBE level of DFT.

It has space group Cmc2_1 (No. 36), with a = 3.4875 Å, b = 13.5321 Å, c = 10.4801 Å, α = 90.00°, β = 90.00° and γ = 90.00°. The distinct sites, in fractional coordinates, are Nd at (0.0000, 0.1063, 0.0000), Nd at (0.0000, 0.1311, 0.6480), Np at (0.0000, 0.1931, 0.3411), Co at (0.0000, 0.4618, 0.7603), N at (0.0000, 0.0315, 0.3285), N at (0.0000, 0.2938, 0.9715), N at (0.0000, 0.3222, 0.7104), N at (0.0000, 0.3443, 0.3247) and N at (0.0000, 0.4940, 0.0948).

The density of states at the Fermi level comes out at 5.395 states/eV/f.u. Its density is 8.79 Mg/m³. The energy is -315.61 eV/cell. As for the uncorrected formation energy: -0.8549 eV per atom. Its crystal system is orthorhombic.



No. 2
Computed, not measured: a relaxed RbTlCl3 crystal at the GGA-PBE level of DFT.

It has space group P2_1/m (No. 11), with a = 6.5462 Å, b = 7.8474 Å, c = 7.8572 Å, α = 90.00°, β = 101.74° and γ = 90.00°. The distinct sites, in fractional coordinates, are Rb at (0.1710, 0.2500, 0.4723), Tl at (0.1391, 0.7500, 0.0953), Cl at (0.1495, 0.0023, 0.8372) and Cl at (0.3230, 0.7500, 0.4359).

The density of states at the Fermi level comes out at 3.688 states/eV/f.u. Its density is 3.33 Mg/m³. The energy is -29.24 eV/cell. As for the uncorrected formation energy: -1.1494 eV per atom. Its crystal system is monoclinic.



No. 3
Computed, not measured: a relaxed AuCN2 crystal at the GGA-PBE level of DFT.

It has space group R-3m (No. 166, hexagonal axes), with a = 3.6557 Å, b = 3.6557 Å, c = 14.0153 Å, α = 90.00°, β = 90.00° and γ = 120.00°. The distinct sites, in fractional coordinates, are Au at (0.0000, 0.0000, 0.0000), C at (0.0000, 0.0000, 0.5000) and N at (0.0000, 0.0000, 0.4112).

The density of states at the Fermi level comes out at 1.748 states/eV/f.u. Its density is 7.28 Mg/m³. The energy is -78.21 eV/cell. As for the uncorrected formation energy: 0.7703 eV per atom. Its crystal system is trigonal.